1.
# Mn2As3, single point on PBEsol structure, DFT SCAN
# - crystal system = trigonal
# - energy relative to the elements (kcal/mol of atoms) = -4.900
data_Mn2As3
_cell_length_a 8.488
_cell_length_b 8.488
_cell_length_c 8.488
_cell_angle_alpha 22.70
_cell_angle_beta 22.70
_cell_angle_gamma 22.70
_symmetry_space_group_name_H-M 'P 1'
_symmetry_Int_Tables_number 1
loop_
_symmetry_equiv_pos_as_xyz
'x,y,z'
loop_
_atom_site_label
_atom_site_fract_x
_atom_site_fract_y
_atom_site_fract_z
Mn1 0.105 0.105 0.105
Mn2 0.895 0.895 0.895
As1 0.289 0.289 0.289
As2 0.500 0.500 0.500
As3 0.711 0.711 0.711


2.
# MnAs2, single point on PBEsol structure, DFT SCAN
# - crystal system = trigonal
# - energy relative to the elements (kcal/mol of atoms) = 2.676
data_MnAs2
_cell_length_a 4.370
_cell_length_b 4.370
_cell_length_c 2.841
_cell_angle_alpha 90.00
_cell_angle_beta 90.00
_cell_angle_gamma 120.00
_symmetry_space_group_name_H-M 'P 1'
_symmetry_Int_Tables_number 1
loop_
_symmetry_equiv_pos_as_xyz
'x,y,z'
loop_
_atom_site_label
_atom_site_fract_x
_atom_site_fract_y
_atom_site_fract_z
Mn1 0.000 0.000 0.000
As1 0.333 0.667 0.193
As2 0.667 0.333 0.807


3.
# Mn2MoAs, single point on PBEsol structure, DFT SCAN
# - crystal system = orthorhombic
# - energy relative to the elements (kcal/mol of atoms) = 1.280
data_Mn2MoAs
_cell_length_a 2.695
_cell_length_b 2.695
_cell_length_c 7.619
_cell_angle_alpha 90.00
_cell_angle_beta 90.00
_cell_angle_gamma 106.49
_symmetry_space_group_name_H-M 'P 1'
_symmetry_Int_Tables_number 1
loop_
_symmetry_equiv_pos_as_xyz
'x,y,z'
loop_
_atom_site_label
_atom_site_fract_x
_atom_site_fract_y
_atom_site_fract_z
Mn1 0.000 0.000 0.237
Mn2 0.000 0.000 0.763
Mo1 0.500 0.500 0.500
As1 0.500 0.500 0.000


4.
# MnMoAs3, single point on PBEsol structure, DFT SCAN
# - crystal system = cubic
# - energy relative to the elements (kcal/mol of atoms) = 16.424
data_MnMoAs3
_cell_length_a 4.539
_cell_length_b 4.539
_cell_length_c 4.539
_cell_angle_alpha 90.00
_cell_angle_beta 90.00
_cell_angle_gamma 90.00
_symmetry_space_group_name_H-M 'P 1'
_symmetry_Int_Tables_number 1
loop_
_symmetry_equiv_pos_as_xyz
'x,y,z'
loop_
_atom_site_label
_atom_site_fract_x
_atom_site_fract_y
_atom_site_fract_z
Mn1 0.000 0.000 0.000
Mo1 0.500 0.500 0.500
As1 0.000 0.000 0.500
As2 0.000 0.500 0.000
As3 0.500 0.000 0.000


5.
# Mn2MoAs, single point on PBEsol structure, DFT SCAN
# - crystal system = orthorhombic
# - energy relative to the elements (kcal/mol of atoms) = -1.501
data_Mn2MoAs
_cell_length_a 4.698
_cell_length_b 4.698
_cell_length_c 4.698
_cell_angle_alpha 139.30
_cell_angle_beta 130.23
_cell_angle_gamma 66.17
_symmetry_space_group_name_H-M 'P 1'
_symmetry_Int_Tables_number 1
loop_
_symmetry_equiv_pos_as_xyz
'x,y,z'
loop_
_atom_site_label
_atom_site_fract_x
_atom_site_fract_y
_atom_site_fract_z
Mn1 0.000 0.000 0.000
Mn2 0.751 0.251 0.500
Mo1 0.258 0.758 0.500
As1 0.516 0.516 0.000


6.
# Mn2MoAs, single point on PBEsol structure, DFT SCAN
# - crystal system = tetragonal
# - energy relative to the elements (kcal/mol of atoms) = -1.317
data_Mn2MoAs
_cell_length_a 3.131
_cell_length_b 3.131
_cell_length_c 5.402
_cell_angle_alpha 90.00
_cell_angle_beta 90.00
_cell_angle_gamma 90.00
_symmetry_space_group_name_H-M 'P 1'
_symmetry_Int_Tables_number 1
loop_
_symmetry_equiv_pos_as_xyz
'x,y,z'
loop_
_atom_site_label
_atom_site_fract_x
_atom_site_fract_y
_atom_site_fract_z
Mn1 0.000 0.000 0.000
Mn2 0.500 0.500 0.237
Mo1 0.000 0.000 0.484
As1 0.500 0.500 0.764


7.
# MnMo2As, single point on PBEsol structure, DFT SCAN
# - crystal system = tetragonal
# - energy relative to the elements (kcal/mol of atoms) = -0.006
data_MnMo2As
_cell_length_a 4.312
_cell_length_b 4.312
_cell_length_c 3.020
_cell_angle_alpha 90.00
_cell_angle_beta 90.00
_cell_angle_gamma 90.00
_symmetry_space_group_name_H-M 'P 1'
_symmetry_Int_Tables_number 1
loop_
_symmetry_equiv_pos_as_xyz
'x,y,z'
loop_
_atom_site_label
_atom_site_fract_x
_atom_site_fract_y
_atom_site_fract_z
Mn1 0.000 0.000 0.000
Mo1 0.000 0.500 0.500
Mo2 0.500 0.000 0.500
As1 0.500 0.500 0.000


8.
# MnMo2As, single point on PBEsol structure, DFT SCAN
# - crystal system = orthorhombic
# - energy relative to the elements (kcal/mol of atoms) = 2.544
data_MnMo2As
_cell_length_a 2.759
_cell_length_b 2.759
_cell_length_c 7.980
_cell_angle_alpha 90.00
_cell_angle_beta 90.00
_cell_angle_gamma 108.44
_symmetry_space_group_name_H-M 'P 1'
_symmetry_Int_Tables_number 1
loop_
_symmetry_equiv_pos_as_xyz
'x,y,z'
loop_
_atom_site_label
_atom_site_fract_x
_atom_site_fract_y
_atom_site_fract_z
Mn1 0.000 0.000 0.000
Mo1 0.000 0.000 0.514
Mo2 0.500 0.500 0.246
As1 0.500 0.500 0.774


9.
# MnMoAs4, single point on PBEsol structure, DFT SCAN
# - crystal system = cubic
# - energy relative to the elements (kcal/mol of atoms) = 15.745
data_MnMoAs4
_cell_length_a 5.290
_cell_length_b 5.290
_cell_length_c 5.290
_cell_angle_alpha 60.00
_cell_angle_beta 60.00
_cell_angle_gamma 60.00
_symmetry_space_group_name_H-M 'P 1'
_symmetry_Int_Tables_number 1
loop_
_symmetry_equiv_pos_as_xyz
'x,y,z'
loop_
_atom_site_label
_atom_site_fract_x
_atom_site_fract_y
_atom_site_fract_z
Mn1 0.000 0.000 0.000
Mo1 0.250 0.250 0.250
As1 0.126 0.625 0.625
As2 0.625 0.126 0.625
As3 0.625 0.625 0.126
As4 0.625 0.625 0.625


10.
# MnMoAs2, single point on PBEsol structure, DFT SCAN
# - crystal system = tetragonal
# - energy relative to the elements (kcal/mol of atoms) = 0.460
data_MnMoAs2
_cell_length_a 2.844
_cell_length_b 2.844
_cell_length_c 7.650
_cell_angle_alpha 90.00
_cell_angle_beta 90.00
_cell_angle_gamma 90.00
_symmetry_space_group_name_H-M 'P 1'
_symmetry_Int_Tables_number 1
loop_
_symmetry_equiv_pos_as_xyz
'x,y,z'
loop_
_atom_site_label
_atom_site_fract_x
_atom_site_fract_y
_atom_site_fract_z
Mn1 0.000 0.000 0.000
Mo1 0.500 0.500 0.210
As1 0.000 0.000 0.453
As2 0.500 0.500 0.820


11.
# MnAs3N, single point on PBEsol structure, DFT SCAN
# - crystal system = cubic
# - raw formation energy (eV per atom) = 1.219
data_MnAs3N
_cell_length_a 4.387
_cell_length_b 4.387
_cell_length_c 4.387
_cell_angle_alpha 90.00
_cell_angle_beta 90.00
_cell_angle_gamma 90.00
_symmetry_space_group_name_H-M 'P 1'
_symmetry_Int_Tables_number 1
loop_
_symmetry_equiv_pos_as_xyz
'x,y,z'
loop_
_atom_site_label
_atom_site_fract_x
_atom_site_fract_y
_atom_site_fract_z
Mn1 0.000 0.000 0.000
As1 0.000 0.000 0.500
As2 0.000 0.500 0.000
As3 0.500 0.000 0.000
N1 0.500 0.500 0.500


12.
# MnAsNO2, single point on PBEsol structure, DFT SCAN
# - crystal system = tetragonal
# - raw formation energy (eV per atom) = -0.418
data_MnAsNO2
_cell_length_a 3.618
_cell_length_b 3.618
_cell_length_c 3.866
_cell_angle_alpha 90.00
_cell_angle_beta 90.00
_cell_angle_gamma 90.00
_symmetry_space_group_name_H-M 'P 1'
_symmetry_Int_Tables_number 1
loop_
_symmetry_equiv_pos_as_xyz
'x,y,z'
loop_
_atom_site_label
_atom_site_fract_x
_atom_site_fract_y
_atom_site_fract_z
Mn1 0.000 0.000 0.000
As1 0.500 0.500 0.500
N1 0.000 0.000 0.500
O1 0.000 0.500 0.000
O2 0.500 0.000 0.000


no.,total magnetization (μB per formula unit)
1,5.520
2,2.793
3,5.151
4,5.469
5,4.074
6,5.028
7,2.059
8,2.548
9,2.237
10,0.000
11,0.098
12,3.000